This record from the Alexandria database describes an optimized crystal structure of BeZn2Rh. The functional is PBE.

Computed properties:
ΔE to the lowest computed polymorph: 341 meV/atom
Symmetry: I-42d, No. 122
ΔE_f: 0.05 eV/atom

Cell: 3.4763 3.4763 9.3599 Å, 79.30 79.30 90.00°
Sites, in units of the cell vectors:
Be (0.2500, 0.7500, 0.5000)
Zn (0.3750, 0.3768, 0.7500)
Rh (0.0000, 0.0000, 0.0000)
Zn (0.8750, 0.8732, 0.7500)
Rh (0.7500, 0.2500, 0.5000)
Zn (0.1268, 0.6250, 0.2500)
Zn (0.6232, 0.1250, 0.2500)
Be (0.5000, 0.5000, 0.0000)

This record from the Alexandria database describes an optimized crystal structure of BaNi2Sb. The functional is PBE.

Computed properties:
Symmetry: Pmmm, No. 47
Raw formation energy: -141 meV per atom

Cell: 4.1634 5.0595 5.0577 Å, 90.01 90.00 90.00°
Sites, in units of the cell vectors:
Sb (0.5000, 0.2500, 0.2500)
Ni (0.0000, 0.9836, 0.2493)
Ba (0.5000, 0.7500, 0.7500)
Ni (0.0000, 0.5164, 0.2507)

This record from the Alexandria database describes an optimized crystal structure of NpBeGe. The functional is PBE.

Computed properties:
Symmetry: P-6m2, No. 187
ΔE_f: -0.11 eV/atom

Cell: 4.1651 3.8699 3.8699 Å, 120.00 90.00 90.00°
Last column: magnetic moment on the atom in μB.
Sites, in units of the cell vectors:
Be (0.1665, 0.0000, 0.0000)  0.01
Np (0.6667, 0.6667, 0.3333)  3.81
Ge (0.1668, 0.3333, 0.6667)  -0.07